# GGA-PBE Ta3HO, optimized geometry
# excess energy over the best structure of this formula in the dataset	0.000	eV per atom
data_Ta3HO
_chemical_formula_sum 'Ta3 H1 O1'
_cell_length_a 4.178
_cell_length_b 4.178
_cell_length_c 4.178
_cell_angle_alpha 90.00
_cell_angle_beta 90.00
_cell_angle_gamma 90.00
_space_group_name_H-M_alt 'P m -3 m'
_space_group_IT_number 221
_space_group_name_Hall '-P 4 2 3'
loop_
_atom_site_label
_atom_site_fract_x
_atom_site_fract_y
_atom_site_fract_z
Ta1 0.000 0.000 0.500
H1 0.500 0.500 0.500
O1 0.000 0.000 0.000